Record 1
# EuThCuSi

An optimized crystal structure of EuThCuSi (PBE, Alexandria via LeMat-Bulk).

Properties
ΔE_f (raw): -0.240 eV per atom
Magnetic moment: 30.76 μB/cell
Density of states at the Fermi level: 3.04 states/eV/f.u.
Mass density: 8.4 g/cm³
Electronic total energy: -112.69 eV per cell

Cell and atoms, written as CIF:
```
data_EuThCuSi
_symmetry_space_group_name_H-M 'F -4 3 m'
_symmetry_Int_Tables_number 216
_symmetry_space_group_name_Hall 'F -4 2 3'
_cell_length_a 7.225
_cell_length_b 7.225
_cell_length_c 7.225
_cell_angle_alpha 90.00
_cell_angle_beta 90.00
_cell_angle_gamma 90.00
loop_
_atom_site_label
_atom_site_fract_x
_atom_site_fract_y
_atom_site_fract_z
_atom_site_occupancy
Eu1 0.000 0.000 0.000 1
Th1 0.000 0.000 0.500 1
Cu1 0.250 0.250 0.250 1
Si1 0.250 0.250 0.750 1
```



Record 2
# EuTmCuSi

An optimized crystal structure of EuTmCuSi (PBE, Alexandria via LeMat-Bulk).

Properties
ΔE_f (raw): -0.354 eV per atom
Magnetic moment: 28.91 μB/cell
Density of states at the Fermi level: 4.33 states/eV/f.u.
Mass density: 7.8 g/cm³
Electronic total energy: -102.73 eV per cell

Cell and atoms, written as CIF:
```
data_EuTmCuSi
_symmetry_space_group_name_H-M 'F -4 3 m'
_symmetry_Int_Tables_number 216
_symmetry_space_group_name_Hall 'F -4 2 3'
_cell_length_a 7.066
_cell_length_b 7.066
_cell_length_c 7.066
_cell_angle_alpha 90.00
_cell_angle_beta 90.00
_cell_angle_gamma 90.00
loop_
_atom_site_label
_atom_site_fract_x
_atom_site_fract_y
_atom_site_fract_z
_atom_site_occupancy
Eu1 0.000 0.000 0.000 1
Tm1 0.000 0.000 0.500 1
Cu1 0.250 0.250 0.750 1
Si1 0.250 0.250 0.250 1
```